Record 1
Here is an optimized crystal structure of Cd2CuHPt2 from the Alexandria database. Energies are from PBE.

Geometry as CIF:
```
data_Cd2CuHPt2
_cell_length_a 5.576
_cell_length_b 12.870
_cell_length_c 4.952
_cell_angle_alpha 90.00
_cell_angle_beta 90.00
_cell_angle_gamma 90.00
_symmetry_space_group_name_H-M 'I b a m'
_symmetry_Int_Tables_number 72
_symmetry_space_group_name_Hall '-I 2 2c'
loop_
_atom_site_label
_atom_site_fract_x
_atom_site_fract_y
_atom_site_fract_z
Cd1 0.166 0.183 0.000
Cu1 0.000 0.000 0.250
H1 0.000 0.500 0.250
Pt1 0.150 0.403 0.000
```

Properties
**Electronic total energy**: -3.669 eV per atom
**Crystal system**: orthorhombic



Record 2
Here is an optimized crystal structure of GdHCO4 from the Alexandria database. Energies are from PBE.

Geometry as CIF:
```
data_GdHCO4
_cell_length_a 4.909
_cell_length_b 7.159
_cell_length_c 8.700
_cell_angle_alpha 90.00
_cell_angle_beta 90.00
_cell_angle_gamma 90.00
_symmetry_space_group_name_H-M 'P 21 21 21'
_symmetry_Int_Tables_number 19
_symmetry_space_group_name_Hall 'P 2ac 2ab'
loop_
_atom_site_label
_atom_site_fract_x
_atom_site_fract_y
_atom_site_fract_z
Gd1 0.019 0.118 0.335
H1 0.126 0.257 0.035
C1 0.007 0.049 0.669
O1 0.001 0.798 0.384
O2 0.025 0.449 0.710
O3 0.199 0.612 0.909
O4 0.248 0.919 0.119
```

Properties
**Electronic total energy**: -8.781 eV per atom
**Crystal system**: orthorhombic



Record 3
Here is an optimized crystal structure of BaPd2PbI from the Alexandria database. Energies are from PBE.

Geometry as CIF:
```
data_BaPd2PbI
_cell_length_a 5.124
_cell_length_b 5.124
_cell_length_c 6.320
_cell_angle_alpha 90.00
_cell_angle_beta 90.00
_cell_angle_gamma 90.00
_symmetry_space_group_name_H-M 'P 4/m m m'
_symmetry_Int_Tables_number 123
_symmetry_space_group_name_Hall '-P 4 2'
loop_
_atom_site_label
_atom_site_fract_x
_atom_site_fract_y
_atom_site_fract_z
Ba1 0.000 0.000 0.000
Pd1 0.000 0.500 0.500
Pb1 0.500 0.500 0.000
I1 0.500 0.500 0.500
```

Properties
**E_form (uncorrected)**: 0.38 eV/f.u.
**Crystal system**: tetragonal



Record 4
Here is an optimized crystal structure of HgTeRu from the Alexandria database. Energies are from PBE.

Geometry as CIF:
```
data_HgTeRu
_cell_length_a 3.199
_cell_length_b 3.910
_cell_length_c 11.677
_cell_angle_alpha 90.00
_cell_angle_beta 90.00
_cell_angle_gamma 90.00
_symmetry_space_group_name_H-M 'P m m n'
_symmetry_Int_Tables_number 59
loop_
_symmetry_equiv_pos_as_xyz
'x,y,z'
'-x,-y,-z'
'-x+1/2,-y+1/2,z'
'x+1/2,y+1/2,-z'
'x+1/2,-y,-z'
'-x+1/2,y,z'
'-x,y+1/2,-z'
'x,-y+1/2,z'
loop_
_atom_site_label
_atom_site_fract_x
_atom_site_fract_y
_atom_site_fract_z
Hg1 0.250 0.250 0.103
Te1 0.250 0.250 0.656
Ru1 0.250 0.250 0.432
```

Properties
**E_form (uncorrected)**: 0.23 eV/f.u.
**Crystal system**: orthorhombic



Record 5
Here is an optimized crystal structure of La2Si3Ir3 from the Alexandria database. Energies are from PBE.

Geometry as CIF:
```
data_La2Si3Ir3
_cell_length_a 10.803
_cell_length_b 10.803
_cell_length_c 19.675
_cell_angle_alpha 90.00
_cell_angle_beta 90.00
_cell_angle_gamma 90.00
_symmetry_space_group_name_H-M 'P 4/m m m'
_symmetry_Int_Tables_number 123
_symmetry_space_group_name_Hall '-P 4 2'
loop_
_atom_site_label
_atom_site_fract_x
_atom_site_fract_y
_atom_site_fract_z
La1 0.000 0.000 0.231
Si1 0.000 0.000 0.000
Si2 0.000 0.000 0.386
Ir1 0.000 0.000 0.118
Ir2 0.000 0.000 0.500
```

Properties
**E_form (uncorrected)**: 14.67 eV/f.u.
**Crystal system**: tetragonal



Record 6
Here is an optimized crystal structure of PmHI from the Alexandria database. Energies are from PBE.

Geometry as CIF:
```
data_PmHI
_cell_length_a 7.062
_cell_length_b 4.079
_cell_length_c 11.207
_cell_angle_alpha 90.00
_cell_angle_beta 101.74
_cell_angle_gamma 90.00
_symmetry_space_group_name_H-M 'C 1 2/m 1'
_symmetry_Int_Tables_number 12
_symmetry_space_group_name_Hall '-C 2y'
loop_
_atom_site_label
_atom_site_fract_x
_atom_site_fract_y
_atom_site_fract_z
Pm1 0.126 0.000 0.373
H1 0.193 0.000 0.582
I1 0.103 0.500 0.821
```

Properties
**Electronic total energy**: -4.254 eV per atom
**Crystal system**: monoclinic



Record 7
Here is an optimized crystal structure of BaLi2NiGe from the Alexandria database. Energies are from PBE.

Geometry as CIF:
```
data_BaLi2NiGe
_cell_length_a 4.920
_cell_length_b 4.920
_cell_length_c 4.653
_cell_angle_alpha 90.00
_cell_angle_beta 90.00
_cell_angle_gamma 90.00
_symmetry_space_group_name_H-M 'P 4/m m m'
_symmetry_Int_Tables_number 123
_symmetry_space_group_name_Hall '-P 4 2'
loop_
_atom_site_label
_atom_site_fract_x
_atom_site_fract_y
_atom_site_fract_z
Ba1 0.000 0.000 0.000
Li1 0.000 0.500 0.500
Ni1 0.500 0.500 0.000
Ge1 0.500 0.500 0.500
```

Properties
**Formation energy from the elements**: -0.1579 eV per atom
**Crystal system**: tetragonal



Record 8
Here is an optimized crystal structure of InN2O from the Alexandria database. Energies are from PBE.

Geometry as CIF:
```
data_InN2O
_cell_length_a 4.400
_cell_length_b 4.400
_cell_length_c 10.517
_cell_angle_alpha 90.00
_cell_angle_beta 90.00
_cell_angle_gamma 90.00
_symmetry_space_group_name_H-M 'I -4 2 d'
_symmetry_Int_Tables_number 122
_symmetry_space_group_name_Hall 'I -4 2bw'
loop_
_atom_site_label
_atom_site_fract_x
_atom_site_fract_y
_atom_site_fract_z
In1 0.000 0.000 0.000
N1 0.185 0.250 0.625
O1 0.000 0.000 0.500
```

Properties
**E_form (uncorrected)**: 6.06 eV/f.u.
**Crystal system**: tetragonal



Record 9
Here is an optimized crystal structure of CeLuGaHg from the Alexandria database. Energies are from PBE.

Geometry as CIF:
```
data_CeLuGaHg
_cell_length_a 7.351
_cell_length_b 7.351
_cell_length_c 7.351
_cell_angle_alpha 90.00
_cell_angle_beta 90.00
_cell_angle_gamma 90.00
_symmetry_space_group_name_H-M 'F -4 3 m'
_symmetry_Int_Tables_number 216
_symmetry_space_group_name_Hall 'F -4 2 3'
loop_
_atom_site_label
_atom_site_fract_x
_atom_site_fract_y
_atom_site_fract_z
Ce1 0.000 0.000 0.000
Lu1 0.000 0.000 0.500
Ga1 0.250 0.250 0.750
Hg1 0.250 0.250 0.250
```

Properties
**Formation energy from the elements**: -0.4191 eV per atom
**Crystal system**: cubic



Record 10
Here is an optimized crystal structure of NaNpPd2Se4 from the Alexandria database. Energies are from PBE.

Geometry as CIF:
```
data_NaNpPd2Se4
_cell_length_a 6.970
_cell_length_b 7.021
_cell_length_c 7.264
_cell_angle_alpha 90.00
_cell_angle_beta 90.00
_cell_angle_gamma 90.00
_symmetry_space_group_name_H-M 'I 2 2 2'
_symmetry_Int_Tables_number 23
_symmetry_space_group_name_Hall 'I 2 2'
loop_
_atom_site_label
_atom_site_fract_x
_atom_site_fract_y
_atom_site_fract_z
Na1 0.000 0.000 0.000
Np1 0.000 0.000 0.500
Pd1 0.000 0.500 0.194
Se1 0.234 0.234 0.251
```

Properties
**E_form (uncorrected)**: -4.68 eV/f.u.
**Crystal system**: orthorhombic



Record 11
Here is an optimized crystal structure of CdInSi2Pd from the Alexandria database. Energies are from PBE.

Geometry as CIF:
```
data_CdInSi2Pd
_cell_length_a 4.924
_cell_length_b 4.924
_cell_length_c 5.148
_cell_angle_alpha 90.00
_cell_angle_beta 90.00
_cell_angle_gamma 90.00
_symmetry_space_group_name_H-M 'P 4/m m m'
_symmetry_Int_Tables_number 123
_symmetry_space_group_name_Hall '-P 4 2'
loop_
_atom_site_label
_atom_site_fract_x
_atom_site_fract_y
_atom_site_fract_z
Cd1 0.000 0.000 0.000
In1 0.500 0.500 0.500
Si1 0.000 0.500 0.000
Pd1 0.000 0.000 0.500
```

Properties
**E_form (uncorrected)**: 4.47 eV/f.u.
**Crystal system**: tetragonal



Record 12
Here is an optimized crystal structure of Cs2Ge2Cl7 from the Alexandria database. Energies are from PBE.

Geometry as CIF:
```
data_Cs2Ge2Cl7
_cell_length_a 12.243
_cell_length_b 11.821
_cell_length_c 6.113
_cell_angle_alpha 90.00
_cell_angle_beta 95.81
_cell_angle_gamma 90.00
_symmetry_space_group_name_H-M 'C 1 2/m 1'
_symmetry_Int_Tables_number 12
_symmetry_space_group_name_Hall '-C 2y'
loop_
_atom_site_label
_atom_site_fract_x
_atom_site_fract_y
_atom_site_fract_z
Cs1 0.000 0.235 0.000
Ge1 0.221 0.500 0.475
Cl1 0.000 0.500 0.500
Cl2 0.109 0.000 0.308
Cl3 0.250 0.148 0.761
```

Properties
**E_form (uncorrected)**: -13.45 eV/f.u.
**Crystal system**: monoclinic



Record 13
Here is an optimized crystal structure of Zn2Cl13 from the Alexandria database. Energies are from PBE.

Geometry as CIF:
```
data_Zn2Cl13
_cell_length_a 7.480
_cell_length_b 8.143
_cell_length_c 10.008
_cell_angle_alpha 111.95
_cell_angle_beta 94.31
_cell_angle_gamma 103.01
_symmetry_space_group_name_H-M 'P -1'
_symmetry_Int_Tables_number 2
_symmetry_space_group_name_Hall '-P 1'
loop_
_atom_site_label
_atom_site_fract_x
_atom_site_fract_y
_atom_site_fract_z
Zn1 0.189 0.396 0.335
Cl1 0.000 0.500 0.500
Cl2 0.049 0.066 0.678
Cl3 0.057 0.730 0.915
Cl4 0.288 0.563 0.213
Cl5 0.294 0.178 0.366
Cl6 0.297 0.938 0.969
Cl7 0.308 0.236 0.715
```

Properties
**E_form (uncorrected)**: -5.22 eV/f.u.
**Crystal system**: triclinic



Record 14
Here is an optimized crystal structure of KSrSCl from the Alexandria database. Energies are from PBE.

Geometry as CIF:
```
data_KSrSCl
_cell_length_a 4.3834
_cell_length_b 4.3834
_cell_length_c 22.1992
_cell_angle_alpha 90.00
_cell_angle_beta 90.00
_cell_angle_gamma 120.00
_symmetry_space_group_name_H-M 'R 3 m'
_symmetry_Int_Tables_number 160
_symmetry_space_group_name_Hall 'R 3 -2"'
loop_
_atom_site_label
_atom_site_fract_x
_atom_site_fract_y
_atom_site_fract_z
K1 0.0000 0.0000 0.0000
Sr1 0.0000 0.0000 0.4851
S1 0.0000 0.0000 0.7542
Cl1 0.0000 0.0000 0.2359
```

Properties
**E_form (uncorrected)**: -7.83 eV/f.u.
**Crystal system**: trigonal



Record 15
Here is an optimized crystal structure of VGa2Ru from the Alexandria database. Energies are from PBE.

Geometry as CIF:
```
data_VGa2Ru
_cell_length_a 2.984
_cell_length_b 2.984
_cell_length_c 6.364
_cell_angle_alpha 90.00
_cell_angle_beta 90.00
_cell_angle_gamma 90.00
_symmetry_space_group_name_H-M 'P 4/m m m'
_symmetry_Int_Tables_number 123
_symmetry_space_group_name_Hall '-P 4 2'
loop_
_atom_site_label
_atom_site_fract_x
_atom_site_fract_y
_atom_site_fract_z
V1 0.000 0.000 0.000
Ga1 0.500 0.500 0.265
Ru1 0.000 0.000 0.500
```

Properties
**Formation energy from the elements**: -0.1720 eV per atom
**Crystal system**: tetragonal



Record 16
Here is an optimized crystal structure of NbSbRh3 from the Alexandria database. Energies are from PBE.

Geometry as CIF:
```
data_NbSbRh3
_cell_length_a 4.732
_cell_length_b 4.732
_cell_length_c 4.732
_cell_angle_alpha 90.00
_cell_angle_beta 90.00
_cell_angle_gamma 90.00
_symmetry_space_group_name_H-M 'P m -3 m'
_symmetry_Int_Tables_number 221
_symmetry_space_group_name_Hall '-P 4 2 3'
loop_
_atom_site_label
_atom_site_fract_x
_atom_site_fract_y
_atom_site_fract_z
Nb1 0.000 0.000 0.000
Sb1 0.500 0.500 0.500
Rh1 0.000 0.500 0.500
```

Properties
**E_form (uncorrected)**: 5.54 eV/f.u.
**Crystal system**: cubic



Record 17
Here is an optimized crystal structure of NaZnAsSe2 from the Alexandria database. Energies are from PBE.

Geometry as CIF:
```
data_NaZnAsSe2
_cell_length_a 5.124
_cell_length_b 5.124
_cell_length_c 5.043
_cell_angle_alpha 90.00
_cell_angle_beta 90.00
_cell_angle_gamma 90.00
_symmetry_space_group_name_H-M 'P 4/m m m'
_symmetry_Int_Tables_number 123
_symmetry_space_group_name_Hall '-P 4 2'
loop_
_atom_site_label
_atom_site_fract_x
_atom_site_fract_y
_atom_site_fract_z
Na1 0.000 0.000 0.000
Zn1 0.500 0.500 0.500
As1 0.000 0.000 0.500
Se1 0.000 0.500 0.000
```

Properties
**E_form (uncorrected)**: 4.13 eV/f.u.
**Crystal system**: tetragonal



Record 18
Here is an optimized crystal structure of Nb6VPt from the Alexandria database. Energies are from PBE.

Geometry as CIF:
```
data_Nb6VPt
_cell_length_a 5.198
_cell_length_b 5.198
_cell_length_c 5.198
_cell_angle_alpha 90.00
_cell_angle_beta 90.00
_cell_angle_gamma 90.00
_symmetry_space_group_name_H-M 'P m -3'
_symmetry_Int_Tables_number 200
_symmetry_space_group_name_Hall '-P 2 2 3'
loop_
_atom_site_label
_atom_site_fract_x
_atom_site_fract_y
_atom_site_fract_z
Nb1 0.000 0.248 0.500
V1 0.000 0.000 0.000
Pt1 0.500 0.500 0.500
```

Properties
**Formation energy from the elements**: -0.2088 eV per atom
**Crystal system**: cubic



Record 19
Here is an optimized crystal structure of Tm2Al3Cu12Ni from the Alexandria database. Energies are from PBE.

Geometry as CIF:
```
data_Tm2Al3Cu12Ni
_cell_length_a 5.2111
_cell_length_b 5.2111
_cell_length_c 35.3544
_cell_angle_alpha 90.00
_cell_angle_beta 90.00
_cell_angle_gamma 120.00
_symmetry_space_group_name_H-M 'R -3 m'
_symmetry_Int_Tables_number 166
_symmetry_space_group_name_Hall '-R 3 2"'
loop_
_atom_site_label
_atom_site_fract_x
_atom_site_fract_y
_atom_site_fract_z
Tm1 0.0000 0.0000 0.1450
Al1 0.0000 0.5000 0.0000
Cu1 0.0003 0.5001 0.1120
Cu2 0.0137 0.5069 0.6098
Ni1 0.0000 0.0000 0.5000
```

Properties
**Formation energy from the elements**: 0.0363 eV per atom
**Crystal system**: trigonal



Record 20
Here is an optimized crystal structure of LiPa3Tl3Se8 from the Alexandria database. Energies are from PBE.

Geometry as CIF:
```
data_LiPa3Tl3Se8
_cell_length_a 8.2958
_cell_length_b 8.2958
_cell_length_c 23.4853
_cell_angle_alpha 90.00
_cell_angle_beta 90.00
_cell_angle_gamma 120.00
_symmetry_space_group_name_H-M 'R -3 m'
_symmetry_Int_Tables_number 166
_symmetry_space_group_name_Hall '-R 3 2"'
loop_
_atom_site_label
_atom_site_fract_x
_atom_site_fract_y
_atom_site_fract_z
Li1 0.0000 0.0000 0.0000
Pa1 0.0000 0.5000 0.0000
Tl1 0.0000 0.5000 0.5000
Se1 0.0000 0.0000 0.2640
Se2 0.0072 0.5036 0.2673
```

Properties
**E_form (uncorrected)**: -15.95 eV/f.u.
**Crystal system**: trigonal



| no. | volume (Å³ per atom) |
| --- | --- |
| 1 | 14.81 |
| 2 | 10.92 |
| 3 | 33.18 |
| 4 | 24.35 |
| 5 | 287.01 |
| 6 | 26.34 |
| 7 | 22.53 |
| 8 | 12.73 |
| 9 | 24.83 |
| 10 | 22.22 |
| 11 | 24.96 |
| 12 | 40.01 |
| 13 | 36.15 |
| 14 | 30.78 |
| 15 | 14.16 |
| 16 | 21.19 |
| 17 | 26.48 |
| 18 | 17.55 |
| 19 | 15.40 |
| 20 | 31.11 |